VASP calculation (PBE) on a geometry-optimized V2TeCCl structure.

Results
E_tot: -21.7 eV per cell
formation energy from raw total energies: 1040 kJ/mol of formula units
calculated volume: 29.01 Å³ per atom

Structure (POSCAR):
```
V2TeCCl
1.0
-0.529 -5.052 1.157
5.096 -0.167 1.599
-1.476 1.262 4.835
Cl V C Te
1 2 1 1
direct
0.000 0.500 0.000
0.500 0.000 0.000
0.000 0.000 0.500
0.500 0.500 0.500
0.000 0.000 0.000
```